A geometry-optimized TbBeZnPt2 structure. Source: Alexandria, functional PBE.

Properties
Uncorrected energy, eV per cell: -51.04
Energy of formation from the pure elements, eV per atom: -0.7616

Geometry as POSCAR:
```
TbBeZnPt2
1.0
3.821 0.000 0.000
0.000 3.821 0.000
0.000 0.000 11.941
Tb Be Zn Pt
2 2 2 4
Cartesian
0.000 0.000 0.000
1.911 1.911 5.970
0.000 1.911 2.985
1.911 0.000 8.955
0.000 1.911 8.955
1.911 0.000 2.985
0.000 0.000 4.594
0.000 0.000 7.347
1.911 1.911 1.377
1.911 1.911 10.564
```

---

A geometry-optimized BeTcPt structure. Source: Alexandria, functional PBE.

Properties
Uncorrected energy, eV per cell: -78.87
Energy of formation from the pure elements, eV per atom: 0.1382
Excess energy over the best structure of this formula in the dataset, meV per atom: 414

Geometry as POSCAR:
```
BeTcPt
1.0
5.511 0.000 0.000
0.000 5.511 0.000
0.000 0.000 5.511
Be Tc Pt
4 4 4
Cartesian
0.000 0.000 0.000
0.000 2.756 2.756
2.756 0.000 2.756
2.756 2.756 0.000
1.378 1.378 4.133
1.378 4.133 1.378
4.133 1.378 1.378
4.133 4.133 4.133
1.378 1.378 1.378
1.378 4.133 4.133
4.133 1.378 4.133
4.133 4.133 1.378
```

---

A geometry-optimized BeTc2Pt structure. Source: Alexandria, functional PBE.

Properties
Uncorrected energy, eV per cell: -31.15
Energy of formation from the pure elements, eV per atom: -0.1617

Geometry as POSCAR:
```
BeTc2Pt
1.0
2.722 0.000 0.000
0.000 3.947 0.000
-1.355 0.000 5.047
Be Tc Pt
1 2 1
Cartesian
0.000 0.000 0.000
0.016 1.974 3.888
1.376 0.000 2.658
0.015 1.974 1.189
```

---

A geometry-optimized BeTc2Pt structure. Source: Alexandria, functional PBE.

Properties
Uncorrected energy, eV per cell: -117.60
Energy of formation from the pure elements, eV per atom: 0.2749

Geometry as POSCAR:
```
BeTc2Pt
1.0
3.544 0.000 0.000
0.000 3.544 0.000
0.000 0.000 18.670
Be Tc Pt
4 8 4
Cartesian
0.000 0.000 0.000
0.000 1.772 4.668
1.772 0.000 14.003
1.772 1.772 9.335
0.780 0.886 2.334
0.886 2.551 7.001
0.886 2.764 16.337
0.992 0.886 11.669
2.551 2.658 11.669
2.658 0.780 16.337
2.658 0.992 7.001
2.764 2.658 2.334
0.000 0.000 9.335
0.000 1.772 14.003
1.772 0.000 4.668
1.772 1.772 0.000
```

---

A geometry-optimized BeTc2Pt structure. Source: Alexandria, functional PBE.

Properties
Uncorrected energy, eV per cell: -29.68
Energy of formation from the pure elements, eV per atom: 0.2047

Geometry as POSCAR:
```
BeTc2Pt
1.0
4.594 0.000 0.000
0.000 4.594 0.000
0.000 0.000 2.654
Be Tc Pt
1 2 1
Cartesian
0.000 0.000 0.000
0.000 2.297 1.327
2.297 0.000 1.327
2.297 2.297 0.000
```

---

A geometry-optimized BeTc2Pt structure. Source: Alexandria, functional PBE.

Properties
Uncorrected energy, eV per cell: -90.34
Energy of formation from the pure elements, eV per atom: 0.0964

Geometry as POSCAR:
```
BeTc2Pt
1.0
2.723 0.000 0.000
-1.361 2.358 0.000
0.000 0.000 25.545
Be Tc Pt
3 6 3
Cartesian
0.000 0.000 0.000
0.000 1.572 17.030
1.361 0.786 8.515
0.000 0.000 6.547
0.000 0.000 18.998
0.000 1.572 10.483
0.000 1.572 23.577
1.361 0.786 1.968
1.361 0.786 15.062
0.000 0.000 12.773
0.000 1.572 4.258
1.361 0.786 21.287
```

---

A geometry-optimized BeTc2Pt structure. Source: Alexandria, functional PBE.

Properties
Uncorrected energy, eV per cell: -61.36
Energy of formation from the pure elements, eV per atom: -0.0453

Geometry as POSCAR:
```
BeTc2Pt
1.0
3.779 0.000 0.000
0.000 3.779 0.000
0.000 0.000 7.655
Be Tc Pt
2 4 2
Cartesian
0.000 0.000 0.000
1.890 1.890 3.827
0.000 0.000 3.827
0.000 1.890 1.914
1.890 0.000 5.741
1.890 1.890 0.000
0.000 1.890 5.741
1.890 0.000 1.914
```

---

A geometry-optimized BeTc2Pt structure. Source: Alexandria, functional PBE.

Properties
Uncorrected energy, eV per cell: -62.11
Energy of formation from the pure elements, eV per atom: -0.1386

Geometry as POSCAR:
```
BeTc2Pt
1.0
2.798 0.000 0.000
0.000 4.435 0.000
0.000 0.000 8.498
Be Tc Pt
2 4 2
Cartesian
0.000 0.000 0.000
1.399 2.218 4.249
0.000 0.000 4.254
0.000 2.218 6.155
1.399 0.000 1.906
1.399 2.218 0.005
0.000 2.218 2.437
1.399 0.000 6.686
```

---

A geometry-optimized Be2TcPt2 structure. Source: Alexandria, functional PBE.

Properties
Uncorrected energy, eV per cell: -64.31
Energy of formation from the pure elements, eV per atom: -0.4507
Excess energy over the best structure of this formula in the dataset, meV per atom: 0

Geometry as POSCAR:
```
Be2TcPt2
1.0
6.749 0.000 0.000
0.000 6.749 0.000
0.000 0.000 2.701
Be Tc Pt
4 2 4
Cartesian
0.864 2.510 0.000
2.510 5.885 0.000
4.239 0.864 0.000
5.885 4.239 0.000
0.000 0.000 0.000
3.374 3.374 0.000
1.134 4.508 1.351
2.240 1.134 1.351
4.508 5.615 1.351
5.615 2.240 1.351
```

---

A geometry-optimized BeTcPt structure. Source: Alexandria, functional PBE.

Properties
Uncorrected energy, eV per cell: -41.92
Energy of formation from the pure elements, eV per atom: -0.2761
Excess energy over the best structure of this formula in the dataset, meV per atom: 0

Geometry as POSCAR:
```
BeTcPt
1.0
2.768 0.000 0.000
0.000 2.768 0.000
0.000 0.000 9.860
Be Tc Pt
2 2 2
Cartesian
0.000 0.000 0.000
1.384 1.384 4.930
0.000 0.000 3.408
1.384 1.384 8.338
0.000 0.000 6.329
1.384 1.384 1.399
```

---

A geometry-optimized BeTcPt4 structure. Source: Alexandria, functional PBE.

Properties
Uncorrected energy, eV per cell: -35.85
Energy of formation from the pure elements, eV per atom: 0.4014

Geometry as POSCAR:
```
BeTcPt4
1.0
0.000 3.684 3.684
3.684 0.000 3.684
3.684 3.684 0.000
Be Tc Pt
1 1 4
Cartesian
0.000 0.000 0.000
1.842 1.842 1.842
4.606 2.762 2.762
2.762 4.606 2.762
2.762 2.762 4.606
4.606 4.606 4.606
```

---

A geometry-optimized BeTcPt structure. Source: Alexandria, functional PBE.

Properties
Uncorrected energy, eV per cell: -20.57
Energy of formation from the pure elements, eV per atom: -0.1456
Excess energy over the best structure of this formula in the dataset, meV per atom: 131

Geometry as POSCAR:
```
BeTcPt
1.0
4.123 0.000 0.000
-2.061 3.570 0.000
0.000 0.000 2.673
Be Tc Pt
1 1 1
Cartesian
0.000 0.000 0.000
0.000 2.380 1.337
2.061 1.190 0.000
```

---

Which of these has the highest energy of formation from the pure elements? BeTcPt4

---

The lowest energy of formation from the pure elements belongs to which entry? TbBeZnPt2